Record 1
Material: Pa2ZnSb
Method: DFT, PBE-GGA
State: relaxed

As for the total magnetization: 2.2 μB per formula unit. The calculation puts the mass density at 11.064 g/cm³. Its energy above the most stable polymorph in this dataset is 128 meV/atom.

The structure belongs to space group Fm-3m (No. 225); the cell edges are 7.305, 7.305 and 7.305 Å and the angles 90.00°, 90.00° and 90.00°. The distinct sites, in fractional coordinates, are Pa at (0.250, 0.250, 0.250), Zn at (0.000, 0.000, 0.000) and Sb at (0.000, 0.000, 0.500).

=====

Record 2
Material: BaY2Mg2
Method: DFT, PBE-GGA
State: relaxed

As for the total magnetization: 0.0 μB per formula unit. The calculation puts the mass density at 3.600 g/cm³. The formation enthalpy at 0 K is 119 meV/atom. Its energy above the most stable polymorph in this dataset is 77 meV/atom.

The structure belongs to space group P4/mbm (No. 127); the cell edges are 9.621, 9.621 and 3.625 Å and the angles 90.00°, 90.00° and 90.00°. The distinct sites, in fractional coordinates, are Ba at (0.000, 0.000, 0.000), Y at (0.165, 0.335, 0.500) and Mg at (0.125, 0.625, 0.000).

=====

Record 3
Material: VAgPb2
Method: DFT, PBE-GGA
State: relaxed

As for the total magnetization: 3.3 μB per formula unit. The calculation puts the mass density at 10.327 g/cm³. The formation enthalpy at 0 K is 427 meV/atom.

The structure belongs to space group Fm-3m (No. 225); the cell edges are 7.171, 7.171 and 7.171 Å and the angles 90.00°, 90.00° and 90.00°. The distinct sites, in fractional coordinates, are V at (0.000, 0.000, 0.000), Ag at (0.000, 0.000, 0.500) and Pb at (0.250, 0.250, 0.250).

=====

Record 4
Material: K3Sr3UTe8
Method: DFT, PBE-GGA
State: relaxed

As for the total magnetization: 0.0 μB per formula unit. The calculation puts the mass density at 4.200 g/cm³. As for the total energy: -4.094 eV per atom.

The structure belongs to space group R-3m (No. 166, hexagonal axes); the cell edges are 9.4583, 9.4583 and 25.0883 Å and the angles 90.00°, 90.00° and 120.00°. The distinct sites, in fractional coordinates, are K at (0.0000, 0.5000, 0.0000), Sr at (0.0000, 0.5000, 0.5000), U at (0.0000, 0.0000, 0.5000), Te at (0.0000, 0.0000, 0.2411) and Te at (0.0385, 0.5193, 0.2343).

=====

Record 5
Material: LaYErMg
Method: DFT, PBE-GGA
State: relaxed

As for the total magnetization: 0.0 μB per formula unit. The calculation puts the mass density at 5.649 g/cm³. The formation enthalpy at 0 K is -22 meV/atom. Its energy above the most stable polymorph in this dataset is 0 meV/atom.

The structure belongs to space group P4mm (No. 99); the cell edges are 3.732, 3.732 and 8.850 Å and the angles 90.00°, 90.00° and 90.00°. The distinct sites, in fractional coordinates, are La at (0.000, 0.000, 0.000), Y at (0.500, 0.500, 0.713), Er at (0.500, 0.500, 0.279) and Mg at (0.000, 0.000, 0.493).

=====

Record 6
Material: CaInPb2
Method: DFT, PBE-GGA
State: relaxed

As for the total magnetization: 0.0 μB per formula unit. The calculation puts the mass density at 7.205 g/cm³. The formation enthalpy at 0 K is -108 meV/atom.

The structure belongs to space group R3m (No. 160, hexagonal axes); the cell edges are 4.7306, 4.7306 and 20.3106 Å and the angles 90.00°, 90.00° and 120.00°. The distinct sites, in fractional coordinates, are Ca at (0.0000, 0.0000, 0.0000), In at (0.0000, 0.0000, 0.1734), Pb at (0.0000, 0.0000, 0.4252) and Pb at (0.0000, 0.0000, 0.5816).

=====

Record 7
Material: Dy2Ho3ErBi6
Method: DFT, PBE-GGA
State: relaxed

As for the total magnetization: 0.0 μB per formula unit. The calculation puts the mass density at 9.889 g/cm³. The formation enthalpy at 0 K is -840 meV/atom.

The structure belongs to space group C2/m (No. 12); the cell edges are 19.435, 4.459 and 8.920 Å and the angles 90.00°, 103.20° and 90.00°. The distinct sites, in fractional coordinates, are Dy at (0.166, 0.000, 0.333), Ho at (0.000, 0.500, 0.500), Ho at (0.167, 0.000, 0.833), Er at (0.000, 0.500, 0.000), Bi at (0.000, 0.000, 0.249), Bi at (0.166, 0.500, 0.082) and Bi at (0.166, 0.500, 0.584).

=====

Record 8
Material: LaDyTmSc3
Method: DFT, PBE-GGA
State: relaxed

As for the total magnetization: 0.0 μB per formula unit. The calculation puts the mass density at 5.811 g/cm³. The formation enthalpy at 0 K is 116 meV/atom.

The structure belongs to space group C2/m (No. 12); the cell edges are 16.319, 5.291 and 8.030 Å and the angles 90.00°, 93.77° and 90.00°. The distinct sites, in fractional coordinates, are La at (0.092, 0.000, 0.075), Dy at (0.222, 0.000, 0.408), Tm at (0.080, 0.500, 0.382), Sc at (0.063, 0.000, 0.650), Sc at (0.114, 0.500, 0.822) and Sc at (0.248, 0.000, 0.847).

=====

Please write out number 4 again, unchanged.
Material: K3Sr3UTe8
Method: DFT, PBE-GGA
State: relaxed

As for the total magnetization: 0.0 μB per formula unit. The calculation puts the mass density at 4.200 g/cm³. As for the total energy: -4.094 eV per atom.

The structure belongs to space group R-3m (No. 166, hexagonal axes); the cell edges are 9.4583, 9.4583 and 25.0883 Å and the angles 90.00°, 90.00° and 120.00°. The distinct sites, in fractional coordinates, are K at (0.0000, 0.5000, 0.0000), Sr at (0.0000, 0.5000, 0.5000), U at (0.0000, 0.0000, 0.5000), Te at (0.0000, 0.0000, 0.2411) and Te at (0.0385, 0.5193, 0.2343).

=====

> The lowest mass density belongs to which entry?

BaY2Mg2

=====

> The lowest mass density belongs to which entry?

BaY2Mg2

=====

Copy entry 3 word for word.
Material: VAgPb2
Method: DFT, PBE-GGA
State: relaxed

As for the total magnetization: 3.3 μB per formula unit. The calculation puts the mass density at 10.327 g/cm³. The formation enthalpy at 0 K is 427 meV/atom.

The structure belongs to space group Fm-3m (No. 225); the cell edges are 7.171, 7.171 and 7.171 Å and the angles 90.00°, 90.00° and 90.00°. The distinct sites, in fractional coordinates, are V at (0.000, 0.000, 0.000), Ag at (0.000, 0.000, 0.500) and Pb at (0.250, 0.250, 0.250).